The following is a PBE calculation of a geometry-optimized La2PrDyEr2 structure, from Alexandria via LeMat-Bulk.

abc: 5.6561 10.3602 6.9504
angles: 90.00 90.00 90.00
Positions (direct):
La1 0.0000 0.0244 0.0000
La2 0.0000 0.9756 0.5000
La3 0.5000 0.2014 0.2647
La4 0.5000 0.7986 0.7647
Pr1 0.0000 0.3093 0.6394
Pr2 0.0000 0.6907 0.1394
Dy1 0.5000 0.4734 0.8972
Dy2 0.5000 0.5266 0.3972
Er1 0.0000 0.3742 0.1464
Er2 0.0000 0.6258 0.6464
Er3 0.5000 0.1322 0.7561
Er4 0.5000 0.8678 0.2561

Properties
Symmetry   No. 26
Calculated volume   407.28 Å³ per cell
E_form   40 kJ/mol of formula units

***

The following is a PBE calculation of a geometry-optimized ZrTaPd2Br structure, from Alexandria via LeMat-Bulk.

abc: 4.8431 4.8431 5.3846
angles: 90.00 90.00 90.00
Positions (direct):
Zr1 0.0000 0.0000 0.0000
Ta1 0.0000 0.0000 0.5000
Pd1 0.0000 0.5000 0.5000
Pd2 0.5000 0.0000 0.5000
Br1 0.5000 0.5000 0.0000

Properties
Symmetry   No. 123
Calculated volume   126.30 Å³ per cell
Formation energy from raw total energies   838 meV per atom

***

The following is a PBE calculation of a geometry-optimized RbBa2F structure, from Alexandria via LeMat-Bulk.

abc: 8.5969 8.5969 8.5969
angles: 118.72 118.72 92.23
Positions (direct):
Rb1 0.0000 0.0000 0.0000
Rb2 0.7500 0.2500 0.5000
Ba1 0.3216 0.6250 0.1966
Ba2 0.3750 0.5716 0.6966
Ba3 0.4284 0.1250 0.8034
Ba4 0.8750 0.6784 0.3034
F1 0.2500 0.7500 0.5000
F2 0.5000 0.5000 0.0000

Properties
Symmetry   No. 122
Offset from the most stable computed form   0.000 eV per atom
Calculated volume   457.59 Å³ per cell
Formation energy from raw total energies   -1262 meV per atom

***

The following is a PBE calculation of a geometry-optimized Zn2IrPb structure, from Alexandria via LeMat-Bulk.

abc: 9.7295 9.7295 9.7295
angles: 155.54 155.54 34.86
Positions (direct):
Zn1 0.0457 0.6250 0.9207
Zn2 0.3750 0.2957 0.4207
Zn3 0.7043 0.1250 0.0793
Zn4 0.8750 0.9543 0.5793
Ir1 0.0000 0.0000 0.0000
Ir2 0.7500 0.2500 0.5000
Pb1 0.2500 0.7500 0.5000
Pb2 0.5000 0.5000 0.0000

Properties
Symmetry   No. 122
Calculated volume   157.69 Å³ per cell
E_form   105 kJ/mol of formula units

***

The following is a PBE calculation of a geometry-optimized LaNi structure, from Alexandria via LeMat-Bulk.

abc: 6.7777 6.7777 6.7777
angles: 144.80 61.38 131.44
Positions (direct):
La1 0.0000 0.0000 0.0000
La2 0.5561 0.2641 0.2920
La3 0.9720 0.2641 0.7080
Ni1 0.2001 0.8048 0.3953
Ni2 0.4096 0.8048 0.6047
Ni3 0.4940 0.4940 0.0000

Properties
Symmetry   No. 44
Calculated volume   133.15 Å³ per cell
E_form   -37 kJ/mol of formula units

***

The following is a PBE calculation of a geometry-optimized CaY5Al3 structure, from Alexandria via LeMat-Bulk.

abc: 9.1345 9.1345 6.6870
angles: 90.00 90.00 120.00
Positions (direct):
Ca1 0.0000 0.0000 0.0000
Ca2 0.0000 0.0000 0.5000
Y1 0.0000 0.3301 0.2500
Y2 0.0000 0.6699 0.7500
Y3 0.3301 0.0000 0.2500
Y4 0.3301 0.3301 0.7500
Y5 0.3333 0.6667 0.0000
Y6 0.3333 0.6667 0.5000
Y7 0.6667 0.3333 0.0000
Y8 0.6667 0.3333 0.5000
Y9 0.6699 0.0000 0.7500
Y10 0.6699 0.6699 0.2500
Al1 0.0000 0.3397 0.7500
Al2 0.0000 0.6603 0.2500
Al3 0.3397 0.0000 0.7500
Al4 0.3397 0.3397 0.2500
Al5 0.6603 0.0000 0.2500
Al6 0.6603 0.6603 0.7500

Properties
Symmetry   No. 193
Calculated volume   483.21 Å³ per cell
E_form   -248 kJ/mol of formula units